The following is a DFT calculation (PBEsol) of a relaxed structure of CaBePt2.

a b c (Å): 5.1362 5.1362 5.1362
angles (deg): 146.01 122.40 68.59
Positions (direct):
Ca 0.0000 0.0000 0.0000
Be 0.5000 0.5000 0.0000
Pt 0.3044 0.8044 0.5000
Pt 0.6956 0.1956 0.5000

electronic total energy = -5.49 eV/atom
space-group type = Immm

The following is a DFT calculation (PBEsol) of a relaxed structure of Ga2BiPb2.

a b c (Å): 9.4813 9.4813 9.4813
angles (deg): 156.97 156.97 32.79
Positions (direct):
Ga 0.2500 0.7500 0.5000
Ga 0.7500 0.2500 0.5000
Bi 0.0000 0.0000 0.0000
Pb 0.3860 0.3860 0.0000
Pb 0.6140 0.6140 0.0000

space-group type = I4/mmm
energy above the most stable polymorph in this dataset = 16.7 meV per atom

The records above yield N(E_F) values of 1.5; 2.9 states/eV/cell, respectively.
The records above yield ρ values of 11.57; 9.72 g/cm³, respectively.